The following is a DFT calculation (PBE) of TlSnOs after structural relaxation.

For the volume, the calculation gives 68.44 Å³/cell. For the energy, the calculation gives -5.3026 eV per atom. The space-group type is No. 216. For the size of the total moment, the calculation gives 0.00 μB per cell.

a = 4.5913 Å, b = 4.5913 Å, c = 4.5913 Å
α = 60.00°, β = 60.00°, γ = 60.00°
Last column: nearest neighbours and their distance in Å.
Sites, in units of the cell vectors:
1 Tl 0.0000 0.0000 0.0000  4 Os 2.81
2 Sn 0.5000 0.5000 0.5000  4 Os 2.81
3 Os 0.7500 0.7500 0.7500  4 Tl 2.81, 4 Sn 2.81